Version w
Material: DyHo2Al
Method: DFT, GGA-PBE
State: optimized geometry

Cell and atoms, written as POSCAR:
```
DyHo2Al
1.0
5.282 0.000 0.000
0.000 3.405 5.892
0.000 -3.405 5.892
Dy Ho Al
2 4 2
Direct
0.000 0.238 0.762
0.000 0.762 0.238
0.000 0.762 0.762
0.500 0.413 0.413
0.500 0.413 0.937
0.500 0.937 0.413
0.000 0.254 0.254
0.500 0.920 0.920
```

Properties
As for the crystal system: orthorhombic.

***

Version x
Material: DyHo2Al
Method: DFT, GGA-PBE
State: optimized geometry

Cell and atoms, written as POSCAR:
```
DyHo2Al
1.0
1.782 1.029 10.368
-1.782 1.029 10.368
0.000 -2.057 10.368
Dy Ho Al
1 2 1
Direct
0.000 0.000 0.000
0.240 0.240 0.240
0.427 0.427 0.427
0.834 0.834 0.834
```

Properties
As for the crystal system: trigonal.

***

Version y
Material: DyHo2Al
Method: DFT, GGA-PBE
State: optimized geometry

Cell and atoms, written as POSCAR:
```
DyHo2Al
1.0
0.000 3.767 3.767
3.767 0.000 3.767
3.767 3.767 0.000
Dy Ho Al
1 2 1
Direct
0.000 0.000 0.000
0.250 0.250 0.250
0.750 0.750 0.750
0.500 0.500 0.500
```

Properties
As for the crystal system: cubic.

***

Version z
Material: DyHo2Al
Method: DFT, GGA-PBE
State: optimized geometry

Cell and atoms, written as POSCAR:
```
DyHo2Al
1.0
3.495 0.000 0.000
0.000 3.495 0.000
0.000 0.000 8.984
Dy Ho Al
1 2 1
Direct
0.000 0.000 0.000
0.500 0.500 0.286
0.500 0.500 0.714
0.000 0.000 0.500
```

Properties
As for the crystal system: tetragonal.

***

Of them, the most stable is version w and the least stable is version y.

***

Version w
Material: DyHo3Al
Method: DFT, GGA-PBE
State: optimized geometry

Cell and atoms, written as POSCAR:
```
DyHo3Al
1.0
6.429 -1.785 0.000
6.429 1.785 0.000
-1.125 0.000 12.341
Dy Ho Al
2 6 2
Direct
0.224 0.224 0.248
0.776 0.776 0.752
0.034 0.034 0.695
0.141 0.141 0.950
0.365 0.365 0.519
0.635 0.635 0.481
0.859 0.859 0.050
0.966 0.966 0.305
0.450 0.450 0.879
0.550 0.550 0.121
```

Properties
As for the crystal system: monoclinic.

***

Version x
Material: DyHo3Al
Method: DFT, GGA-PBE
State: optimized geometry

Cell and atoms, written as POSCAR:
```
DyHo3Al
1.0
6.681 -6.666 0.000
6.681 6.666 0.000
-1.075 0.000 6.564
Dy Ho Al
4 12 4
Direct
0.075 0.713 0.866
0.287 0.925 0.634
0.713 0.075 0.366
0.925 0.287 0.134
0.030 0.180 0.618
0.180 0.030 0.118
0.191 0.507 0.483
0.235 0.405 0.975
0.405 0.235 0.475
0.493 0.809 0.017
0.507 0.191 0.983
0.595 0.765 0.525
0.765 0.595 0.025
0.809 0.493 0.517
0.820 0.970 0.882
0.970 0.820 0.382
0.278 0.722 0.250
0.495 0.505 0.750
0.505 0.495 0.250
0.722 0.278 0.750
```

Properties
As for the crystal system: monoclinic.

***

Of them, the most stable is version w and the least stable is version x.

***

Version w
Material: Dy2HoAl6
Method: DFT, GGA-PBE
State: optimized geometry

Cell and atoms, written as POSCAR:
```
Dy2HoAl6
1.0
-1.721 3.941 7.296
1.721 -3.941 7.296
1.721 3.941 -7.296
Dy Ho Al
2 1 6
Direct
0.150 0.150 0.000
0.850 0.850 0.000
0.500 0.000 0.500
0.168 0.339 0.829
0.172 0.500 0.672
0.490 0.661 0.829
0.510 0.339 0.171
0.828 0.500 0.328
0.832 0.661 0.171
```

Properties
As for the crystal system: orthorhombic.

***

Version x
Material: Dy2HoAl6
Method: DFT, GGA-PBE
State: optimized geometry

Cell and atoms, written as POSCAR:
```
Dy2HoAl6
1.0
7.903 0.000 0.000
-3.951 6.844 0.000
0.000 0.000 3.466
Dy Ho Al
2 1 6
Direct
0.333 0.667 0.000
0.667 0.333 0.000
0.000 0.000 0.000
0.000 0.333 0.500
0.000 0.667 0.500
0.333 0.000 0.500
0.333 0.333 0.500
0.667 0.000 0.500
0.667 0.667 0.500
```

Properties
As for the crystal system: hexagonal.

***

Of them, the most stable is version x and the least stable is version w.

***

Version w
Material: Dy2Ho3Al2
Method: DFT, GGA-PBE
State: optimized geometry

Cell and atoms, written as POSCAR:
```
Dy2Ho3Al2
1.0
-1.764 1.764 15.076
1.764 -1.764 15.076
1.764 1.764 -15.076
Dy Ho Al
2 3 2
Direct
0.209 0.209 0.000
0.791 0.791 0.000
0.376 0.376 0.000
0.500 0.500 0.000
0.624 0.624 0.000
0.062 0.062 0.000
0.938 0.938 0.000
```

Properties
As for the crystal system: tetragonal.

***

Version x
Material: Dy2Ho3Al2
Method: DFT, GGA-PBE
State: optimized geometry

Cell and atoms, written as POSCAR:
```
Dy2Ho3Al2
1.0
2.626 1.516 7.782
-2.626 1.516 7.782
0.000 -3.032 7.782
Dy Ho Al
2 3 2
Direct
0.082 0.082 0.082
0.918 0.918 0.918
0.347 0.347 0.347
0.500 0.500 0.500
0.653 0.653 0.653
0.218 0.218 0.218
0.782 0.782 0.782
```

Properties
As for the crystal system: trigonal.

***

Of them, the most stable is version w and the least stable is version x.

***

Version w
Material: Dy2HoAl2
Method: DFT, GGA-PBE
State: optimized geometry

Cell and atoms, written as POSCAR:
```
Dy2HoAl2
1.0
3.637 0.000 0.000
0.000 5.125 0.000
-1.823 0.000 13.340
Dy Ho Al
4 2 4
Direct
0.047 0.250 0.094
0.233 0.250 0.468
0.767 0.750 0.532
0.953 0.750 0.906
0.144 0.750 0.291
0.856 0.250 0.709
0.360 0.750 0.718
0.450 0.250 0.900
0.550 0.750 0.100
0.640 0.250 0.282
```

Properties
As for the crystal system: monoclinic.

***

Version x
Material: Dy2HoAl2
Method: DFT, GGA-PBE
State: optimized geometry

Cell and atoms, written as POSCAR:
```
Dy2HoAl2
1.0
5.592 0.000 0.000
0.000 3.550 0.000
-1.379 0.000 13.375
Dy Ho Al
4 2 4
Direct
0.154 0.250 0.113
0.259 0.750 0.539
0.741 0.250 0.461
0.846 0.750 0.887
0.315 0.250 0.764
0.685 0.750 0.236
0.209 0.250 0.341
0.349 0.750 0.955
0.651 0.250 0.045
0.791 0.750 0.659
```

Properties
As for the crystal system: monoclinic.

***

Of them, the most stable is version w and the least stable is version x.

***

Version w
Material: DyHo4Al2
Method: DFT, GGA-PBE
State: optimized geometry

Cell and atoms, written as POSCAR:
```
DyHo4Al2
1.0
2.501 1.444 10.018
-2.501 1.444 10.018
0.000 -2.888 10.018
Dy Ho Al
1 4 2
Direct
0.000 0.000 0.000
0.202 0.202 0.202
0.398 0.398 0.398
0.602 0.602 0.602
0.798 0.798 0.798
0.100 0.100 0.100
0.900 0.900 0.900
```

Properties
As for the crystal system: trigonal.

***

Version x
Material: DyHo4Al2
Method: DFT, GGA-PBE
State: optimized geometry

Cell and atoms, written as POSCAR:
```
DyHo4Al2
1.0
6.037 0.000 0.000
0.000 10.322 0.000
-2.492 0.000 6.259
Dy Ho Al
2 8 4
Direct
0.000 0.000 0.000
0.000 0.500 0.500
0.006 0.161 0.499
0.006 0.339 0.999
0.494 0.711 0.498
0.494 0.789 0.998
0.506 0.211 0.002
0.506 0.289 0.502
0.994 0.661 0.001
0.994 0.839 0.501
0.477 0.501 0.182
0.477 0.999 0.682
0.523 0.001 0.318
0.523 0.499 0.818
```

Properties
As for the crystal system: monoclinic.

***

Of them, the most stable is version x and the least stable is version w.